1.
Ba3HgH2: optimized geometry, GGA-PBE.

The structure in extended XYZ format:
```
12
Lattice="5.165 -7.025 0.000 5.165 7.025 0.000 0.000 0.000 5.640" Properties=species:S:1:pos:R:3 pbc="T T T"
Ba 5.165 5.607 4.230
Ba 3.066 1.663 4.230
Ba 3.066 -1.663 1.410
Ba 7.265 1.663 4.230
Ba 7.265 -1.663 1.410
Ba 5.165 -5.607 1.410
Hg 5.165 3.081 1.410
Hg 5.165 -3.081 4.230
H 1.668 0.000 0.000
H 1.668 0.000 2.820
H 8.662 0.000 0.000
H 8.662 0.000 2.820
```

## Properties
Electronic total energy in Ry per atom: -0.1841

---

2.
Ba2HgH: optimized geometry, GGA-PBE.

The structure in extended XYZ format:
```
4
Lattice="0.000 4.047 4.047 4.047 0.000 4.047 4.047 4.047 0.000" Properties=species:S:1:pos:R:3 pbc="T T T"
Ba 2.024 2.024 2.024
Ba 6.071 6.071 6.071
Hg 0.000 0.000 0.000
H 4.047 4.047 4.047
```

## Properties
ΔE to the lowest computed polymorph in meV per atom: 319

---

| no. | total magnetic moment (μB/f.u.) |
| --- | --- |
| 1 | 0.000 |
| 2 | 0.000 |